Version one
Li3LaTe | Alexandria via LeMat-Bulk | PBE-GGA | optimized geometry; mass density = 3.56 g/cm³
1.0
5.1199 0.0000 0.0000
0.0000 5.1199 0.0000
0.0000 0.0000 5.1199
Li La Te
3 1 1
Direct
0.0000 0.0000 0.5000
0.0000 0.5000 0.0000
0.5000 0.0000 0.0000
0.5000 0.5000 0.5000
0.0000 0.0000 0.0000

Version two
Li3LaTe | Alexandria via LeMat-Bulk | PBE-GGA | optimized geometry; mass density = 2.80 g/cm³
1.0
5.5427 0.0000 0.0000
0.0000 5.5427 0.0000
0.0000 0.0000 5.5427
Li La Te
3 1 1
Direct
0.0000 0.0000 0.5000
0.0000 0.5000 0.0000
0.5000 0.0000 0.0000
0.0000 0.0000 0.0000
0.5000 0.5000 0.5000

Which of them is least stable? Easy: version two.

Version one
LiLa2Te2 | Alexandria via LeMat-Bulk | PBE-GGA | optimized geometry; mass density = 5.85 g/cm³
1.0
8.4476 0.0000 0.0000
0.0000 8.4476 0.0000
0.0000 0.0000 4.2979
Li La Te
2 4 4
Direct
0.0000 0.0000 0.0000
0.5000 0.5000 0.0000
0.1528 0.3472 0.5000
0.3472 0.8472 0.5000
0.6528 0.1528 0.5000
0.8472 0.6528 0.5000
0.1505 0.6505 0.0000
0.3495 0.1505 0.0000
0.6505 0.8495 0.0000
0.8495 0.3495 0.0000

Version two
LiLa2Te2 | Alexandria via LeMat-Bulk | PBE-GGA | optimized geometry; mass density = 4.90 g/cm³
1.0
6.3198 0.0000 0.0000
0.0000 6.3198 0.0000
0.0000 0.0000 9.1607
Li La Te
2 4 4
Direct
0.0000 0.0000 0.0000
0.5000 0.5000 0.5000
0.0000 0.5000 0.2500
0.0000 0.5000 0.7500
0.5000 0.0000 0.2500
0.5000 0.0000 0.7500
0.0000 0.0000 0.2905
0.0000 0.0000 0.7095
0.5000 0.5000 0.2095
0.5000 0.5000 0.7905

Which of them is least stable? Easy: version two.